Computed, not measured: a PBEsol-optimized structure of CsH5O3 at the meta-GGA SCAN level of DFT.

Unit cell a=6.660 b=8.928 c=12.929 alpha=90.00 beta=90.00 gamma=90.00
Fractional positions:
O  0.673  0.865  0.063
Cs  0.923  0.624  0.922
H  0.222  0.305  0.382
O  0.673  0.365  0.437
O  0.309  0.298  0.493
O  0.805  0.730  0.224
H  0.704  0.195  0.223
O  0.309  0.798  0.007
H  0.471  0.835  0.544
Cs  0.923  0.124  0.578
O  0.457  0.127  0.630
O  0.327  0.865  0.563
H  0.142  0.890  0.800
O  0.327  0.365  0.937
H  0.400  0.696  0.928
H  0.754  0.370  0.041
H  0.960  0.278  0.797
O  0.543  0.627  0.370
H  0.040  0.278  0.297
H  0.296  0.195  0.723
O  0.183  0.311  0.305
H  0.854  0.072  0.322
H  0.854  0.572  0.178
H  0.960  0.778  0.703
O  0.543  0.127  0.130
H  0.600  0.196  0.072
O  0.817  0.311  0.805
H  0.146  0.572  0.678
H  0.222  0.805  0.118
H  0.529  0.335  0.456
H  0.715  0.807  0.130
H  0.406  0.524  0.891
H  0.040  0.778  0.203
O  0.119  0.968  0.856
H  0.529  0.835  0.044
Cs  0.611  0.005  0.843
Cs  0.389  0.005  0.343
O  0.119  0.468  0.644
H  0.471  0.335  0.956
H  0.858  0.390  0.200
H  0.142  0.390  0.700
O  0.195  0.730  0.724
Cs  0.389  0.505  0.157
H  0.704  0.695  0.277
H  0.400  0.196  0.572
Cs  0.077  0.624  0.422
H  0.146  0.072  0.822
H  0.600  0.696  0.428
H  0.754  0.870  0.459
O  0.183  0.811  0.195
H  0.285  0.807  0.630
Cs  0.077  0.124  0.078
H  0.778  0.305  0.882
H  0.715  0.307  0.370
H  0.246  0.870  0.959
O  0.691  0.298  0.993
H  0.594  0.524  0.391
O  0.881  0.468  0.144
O  0.881  0.968  0.356
H  0.285  0.307  0.870
H  0.246  0.370  0.541
H  0.778  0.805  0.618
O  0.457  0.627  0.870
H  0.296  0.695  0.777
O  0.195  0.230  0.776
O  0.691  0.798  0.507
O  0.805  0.230  0.276
O  0.817  0.811  0.695
H  0.406  0.024  0.609
Cs  0.611  0.505  0.657
H  0.858  0.890  0.300
H  0.594  0.024  0.109

Properties
The value obtained for the theoretical density is 3213 kg/m3. The space group is Pca2_1. For the energy, the calculation gives -9.4366 eV/atom. Its crystal system is orthorhombic. Its total magnetization is 0.00 μB/f.u. The density of states at the Fermi level comes out at 0.000 states/eV per atom.